Material: SrMg2Al2
Method: DFT, PBE
State: optimized geometry

Cell and atoms, written as POSCAR:
```
SrMg2Al2
1.0
-3.081 -4.430 -6.503
-1.998 -6.314 5.248
-3.111 1.411 0.513
Al Mg Sr
4 4 2
Direct
0.119 0.381 0.000 Al
0.881 0.619 0.000 Al
0.619 0.119 0.000 Al
0.381 0.881 0.000 Al
0.830 0.330 0.500 Mg
0.670 0.830 0.500 Mg
0.330 0.170 0.500 Mg
0.170 0.670 0.500 Mg
0.000 0.000 0.000 Sr
0.500 0.500 0.000 Sr
```

Properties
Crystal system: tetragonal

Material: InW
Method: DFT, PBE
State: optimized geometry

Cell and atoms, written as POSCAR:
```
InW
1.0
1.903 2.371 3.301
-4.324 -1.167 0.280
2.483 -8.142 4.417
In W
4 4
Direct
0.667 0.333 0.582 In
0.333 0.667 0.418 In
0.667 0.333 0.918 In
0.333 0.667 0.082 In
0.333 0.667 0.750 W
0.000 0.000 0.750 W
0.667 0.333 0.250 W
0.000 0.000 0.250 W
```

Properties
Crystal system: hexagonal
Relative energy among the computed polymorphs (kJ/mol of formula units): 61

Material: Pm2PuHg
Method: DFT, PBE
State: optimized geometry

Cell and atoms, written as POSCAR:
```
Pm2PuHg
1.0
3.621 0.000 0.000
0.000 3.621 0.000
0.000 0.000 8.907
Pu Hg Pm
1 1 2
Direct
0.500 0.500 0.500 Pu
0.500 0.500 0.000 Hg
0.000 0.000 0.232 Pm
0.000 0.000 0.768 Pm
```

Properties
Crystal system: tetragonal
Relative energy among the computed polymorphs (kJ/mol of formula units): 0

no.,formation energy from the elements (eV/atom),spin magnetization (μB/cell)
1,0.02,0.0
2,0.72,0.1
3,-0.12,6.3